No. 1
# RbTcBiSb2 GGA-PBE relaxed
# ΔE_f (raw) = 2.00 eV/atom
data_RbTcBiSb2
_chemical_formula_sum 'Rb1 Tc1 Bi1 Sb2'
_cell_length_a 5.949
_cell_length_b 5.949
_cell_length_c 5.186
_cell_angle_alpha 90.00
_cell_angle_beta 90.00
_cell_angle_gamma 90.00
_space_group_name_H-M_alt 'P 4/m m m'
_space_group_IT_number 123
_space_group_name_Hall '-P 4 2'
loop_
_atom_site_label
_atom_site_fract_x
_atom_site_fract_y
_atom_site_fract_z
Rb1 0.000 0.000 0.000
Tc1 0.000 0.000 0.500
Bi1 0.500 0.500 0.500
Sb1 0.000 0.500 0.000

=====

No. 2
# RbBiSbTe2 GGA-PBE relaxed
# ΔE_f (raw) = 1.15 eV/atom
# energy above the lowest structure with this stoichiometry = 5.55 eV per formula unit
data_RbBiSbTe2
_chemical_formula_sum 'Rb1 Bi1 Sb1 Te2'
_cell_length_a 6.120
_cell_length_b 6.120
_cell_length_c 5.930
_cell_angle_alpha 90.00
_cell_angle_beta 90.00
_cell_angle_gamma 90.00
_space_group_name_H-M_alt 'P 4/m m m'
_space_group_IT_number 123
_space_group_name_Hall '-P 4 2'
loop_
_atom_site_label
_atom_site_fract_x
_atom_site_fract_y
_atom_site_fract_z
Rb1 0.000 0.000 0.000
Bi1 0.500 0.500 0.500
Sb1 0.000 0.000 0.500
Te1 0.000 0.500 0.000

=====

No. 3
# RbBiSb2Te GGA-PBE relaxed
# ΔE_f (raw) = 1.29 eV/atom
# energy above the lowest structure with this stoichiometry = 5.27 eV per formula unit
data_RbBiSb2Te
_chemical_formula_sum 'Rb1 Bi1 Sb2 Te1'
_cell_length_a 5.946
_cell_length_b 5.946
_cell_length_c 6.074
_cell_angle_alpha 90.00
_cell_angle_beta 90.00
_cell_angle_gamma 90.00
_space_group_name_H-M_alt 'P 4/m m m'
_space_group_IT_number 123
_space_group_name_Hall '-P 4 2'
loop_
_atom_site_label
_atom_site_fract_x
_atom_site_fract_y
_atom_site_fract_z
Rb1 0.000 0.000 0.000
Bi1 0.500 0.500 0.500
Sb1 0.000 0.500 0.000
Te1 0.000 0.000 0.500

=====

No. 4
# Rb2BiSb2Te6 GGA-PBE relaxed
# ΔE_f (raw) = -0.41 eV/atom
data_Rb2BiSb2Te6
_chemical_formula_sum 'Rb4 Bi2 Sb4 Te12'
_cell_length_a 7.581
_cell_length_b 13.185
_cell_length_c 9.364
_cell_angle_alpha 90.00
_cell_angle_beta 105.52
_cell_angle_gamma 90.00
_space_group_name_H-M_alt 'C 1 2/m 1'
_space_group_IT_number 12
_space_group_name_Hall '-C 2y'
loop_
_atom_site_label
_atom_site_fract_x
_atom_site_fract_y
_atom_site_fract_z
Rb1 0.000 0.164 0.000
Bi1 0.000 0.000 0.500
Sb1 0.000 0.331 0.500
Te1 0.221 0.500 0.699
Te2 0.237 0.171 0.698

=====

No. 5
# Rb3Bi2SbTe6 GGA-PBE relaxed
# ΔE_f (raw) = -0.58 eV/atom
data_Rb3Bi2SbTe6
_chemical_formula_sum 'Rb6 Bi4 Sb2 Te12'
_cell_length_a 7.961
_cell_length_b 13.789
_cell_length_c 9.013
_cell_angle_alpha 90.00
_cell_angle_beta 107.13
_cell_angle_gamma 90.00
_space_group_name_H-M_alt 'C 1 2/m 1'
_space_group_IT_number 12
_space_group_name_Hall '-C 2y'
loop_
_atom_site_label
_atom_site_fract_x
_atom_site_fract_y
_atom_site_fract_z
Rb1 0.000 0.000 0.000
Rb2 0.000 0.332 0.000
Bi1 0.000 0.166 0.500
Sb1 0.000 0.500 0.500
Te1 0.231 0.336 0.701
Te2 0.240 0.000 0.701

=====

No. 6
# RbBiSb2Te GGA-PBE relaxed
# ΔE_f (raw) = 0.24 eV/atom
# energy above the lowest structure with this stoichiometry = 0.00 eV per formula unit
data_RbBiSb2Te
_chemical_formula_sum 'Rb1 Bi1 Sb2 Te1'
_cell_length_a 5.932
_cell_length_b 5.932
_cell_length_c 6.225
_cell_angle_alpha 90.00
_cell_angle_beta 90.00
_cell_angle_gamma 90.00
_space_group_name_H-M_alt 'P 4/m m m'
_space_group_IT_number 123
_space_group_name_Hall '-P 4 2'
loop_
_atom_site_label
_atom_site_fract_x
_atom_site_fract_y
_atom_site_fract_z
Rb1 0.000 0.000 0.000
Bi1 0.500 0.500 0.500
Sb1 0.000 0.500 0.500
Te1 0.500 0.500 0.000

=====

No. 7
# RbBiSbTe2 GGA-PBE relaxed
# ΔE_f (raw) = 0.05 eV/atom
# energy above the lowest structure with this stoichiometry = 0.00 eV per formula unit
data_RbBiSbTe2
_chemical_formula_sum 'Rb1 Bi1 Sb1 Te2'
_cell_length_a 6.152
_cell_length_b 6.152
_cell_length_c 5.889
_cell_angle_alpha 90.00
_cell_angle_beta 90.00
_cell_angle_gamma 90.00
_space_group_name_H-M_alt 'P 4/m m m'
_space_group_IT_number 123
_space_group_name_Hall '-P 4 2'
loop_
_atom_site_label
_atom_site_fract_x
_atom_site_fract_y
_atom_site_fract_z
Rb1 0.000 0.000 0.000
Bi1 0.500 0.500 0.500
Sb1 0.500 0.500 0.000
Te1 0.000 0.500 0.500

=====

No. 8
# Rb3Tl4Bi2Sb2 GGA-PBE relaxed
# ΔE_f (raw) = -0.13 eV/atom
data_Rb3Tl4Bi2Sb2
_chemical_formula_sum 'Rb3 Tl4 Bi2 Sb2'
_cell_length_a 5.2700
_cell_length_b 5.2700
_cell_length_c 19.1943
_cell_angle_alpha 90.00
_cell_angle_beta 90.00
_cell_angle_gamma 120.00
_space_group_name_H-M_alt 'P -3 m 1'
_space_group_IT_number 164
_space_group_name_Hall '-P 3 2"'
loop_
_atom_site_label
_atom_site_fract_x
_atom_site_fract_y
_atom_site_fract_z
Rb1 0.0000 0.0000 0.0000
Rb2 0.0000 0.0000 0.2759
Tl1 0.3333 0.6667 0.3893
Tl2 0.3333 0.6667 0.8628
Bi1 0.3333 0.6667 0.5586
Sb1 0.3333 0.6667 0.1380

=====

No. 9
# Rb2Tl6BiSb GGA-PBE relaxed
# ΔE_f (raw) = 0.00 eV/atom
data_Rb2Tl6BiSb
_chemical_formula_sum 'Rb12 Tl36 Bi6 Sb6'
_cell_length_a 8.2390
_cell_length_b 8.2390
_cell_length_c 43.3625
_cell_angle_alpha 90.00
_cell_angle_beta 90.00
_cell_angle_gamma 120.00
_space_group_name_H-M_alt 'R -3 m'
_space_group_IT_number 166
_space_group_name_Hall '-R 3 2"'
loop_
_atom_site_label
_atom_site_fract_x
_atom_site_fract_y
_atom_site_fract_z
Rb1 0.0000 0.0000 0.1014
Rb2 0.0000 0.0000 0.2819
Tl1 0.0568 0.5284 0.8695
Tl2 0.0708 0.5354 0.3049
Bi1 0.0000 0.0000 0.0000
Bi2 0.0000 0.0000 0.5000
Sb1 0.0000 0.0000 0.4262

=====

No. 10
# Rb3Tl6Bi2Sb GGA-PBE relaxed
# ΔE_f (raw) = -0.11 eV/atom
data_Rb3Tl6Bi2Sb
_chemical_formula_sum 'Rb3 Tl6 Bi2 Sb1'
_cell_length_a 6.5448
_cell_length_b 6.5448
_cell_length_c 13.0841
_cell_angle_alpha 90.00
_cell_angle_beta 90.00
_cell_angle_gamma 120.00
_space_group_name_H-M_alt 'P -3 m 1'
_space_group_IT_number 164
_space_group_name_Hall '-P 3 2"'
loop_
_atom_site_label
_atom_site_fract_x
_atom_site_fract_y
_atom_site_fract_z
Rb1 0.0000 0.0000 0.0000
Rb2 0.3333 0.6667 0.5422
Tl1 0.1671 0.3342 0.2738
Bi1 0.3333 0.6667 0.8244
Sb1 0.0000 0.0000 0.5000

=====

No. 11
# RbTlBiSb GGA-PBE relaxed
# ΔE_f (raw) = -0.11 eV/atom
data_RbTlBiSb
_chemical_formula_sum 'Rb2 Tl2 Bi2 Sb2'
_cell_length_a 14.311
_cell_length_b 4.274
_cell_length_c 6.169
_cell_angle_alpha 90.00
_cell_angle_beta 114.98
_cell_angle_gamma 90.00
_space_group_name_H-M_alt 'C 1 m 1'
_space_group_IT_number 8
_space_group_name_Hall 'C -2y'
loop_
_atom_site_label
_atom_site_fract_x
_atom_site_fract_y
_atom_site_fract_z
Rb1 0.000 0.000 0.000
Tl1 0.183 0.500 0.687
Bi1 0.282 0.500 0.285
Sb1 0.439 0.000 0.439

=====

No. 12
# Rb2TlBiSb2 GGA-PBE relaxed
# ΔE_f (raw) = -0.24 eV/atom
data_Rb2TlBiSb2
_chemical_formula_sum 'Rb8 Tl4 Bi4 Sb8'
_cell_length_a 7.834
_cell_length_b 16.718
_cell_length_c 7.781
_cell_angle_alpha 90.00
_cell_angle_beta 90.00
_cell_angle_gamma 90.00
_space_group_name_H-M_alt 'I b a m'
_space_group_IT_number 72
_space_group_name_Hall '-I 2 2c'
loop_
_atom_site_label
_atom_site_fract_x
_atom_site_fract_y
_atom_site_fract_z
Rb1 0.230 0.168 0.000
Tl1 0.000 0.000 0.250
Bi1 0.000 0.500 0.250
Sb1 0.222 0.394 0.000